The following is a PBE-GGA calculation of a relaxed AgSCl2 crystal, from Alexandria via LeMat-Bulk.

Properties
Polymorph energy (0 for the lowest one), eV/atom: 0.000
E_form (uncorrected), meV per atom: -230.1
Space-group type: P2/c (13)
Magnetic moment, μB per formula unit: 0.000

abc: 6.7609 6.5936 10.7460
angles: 89.62 90.00 90.00
Last column: nearest neighbours and their distance in Å.
Positions (direct):
Ag 0.3565 0.5748 0.6374  4 Cl 2.52-2.77
Ag 0.6435 0.4252 0.3626  4 Cl 2.52-2.77
Ag 0.3565 0.9252 0.8626  4 Cl 2.52-2.77
Ag 0.6435 0.0748 0.1374  4 Cl 2.52-2.77
S 0.0214 0.7673 0.3370  1 S 1.89
S 0.9786 0.2327 0.6630  1 S 1.89
S 0.0214 0.7327 0.1630  1 S 1.89
S 0.9786 0.2673 0.8370  1 S 1.89
Cl 0.7323 0.9890 0.9134  2 Ag 2.55-2.63, 1 S 2.61
Cl 0.2677 0.0110 0.0866  2 Ag 2.55-2.63, 1 S 2.61
Cl 0.7323 0.5110 0.5866  2 Ag 2.55-2.63, 1 S 2.61
Cl 0.2677 0.4890 0.4134  2 Ag 2.55-2.63, 1 S 2.61
Cl 0.7477 0.4804 0.1394  1 S 2.50, 2 Ag 2.52-2.77
Cl 0.2523 0.5196 0.8606  1 S 2.50, 2 Ag 2.52-2.77
Cl 0.7477 0.0196 0.3606  1 S 2.50, 2 Ag 2.52-2.77
Cl 0.2523 0.9804 0.6394  1 S 2.50, 2 Ag 2.52-2.77

The following is a PBE-GGA calculation of a relaxed Y2Zn16Cu crystal, from Alexandria via LeMat-Bulk.

Properties
Space-group type: R3m (160)
Magnetic moment, μB per formula unit: 0.000
Formation energy from the elements, eV per atom: -0.235

abc: 6.7742 6.7742 6.7742
angles: 82.68 82.68 82.68
Last column: nearest neighbours and their distance in Å.
Positions (direct):
Y 0.6664 0.6664 0.6664  1 Cu 3.08, 15 Zn 3.17-3.35
Y 0.3357 0.3357 0.3357  19 Zn 3.11-3.44
Zn 0.7058 0.9995 0.2932  8 Zn 2.56-2.76
Zn 0.9995 0.2932 0.7058  8 Zn 2.56-2.76
Zn 0.2932 0.7058 0.9995  8 Zn 2.56-2.76
Zn 0.9995 0.7058 0.2932  8 Zn 2.56-2.76
Zn 0.7058 0.2932 0.9995  8 Zn 2.56-2.76
Zn 0.2932 0.9995 0.7058  8 Zn 2.56-2.76
Zn 0.3538 0.8381 0.3538  8 Zn 2.55-2.76
Zn 0.8381 0.3538 0.3538  8 Zn 2.55-2.76
Zn 0.3538 0.3538 0.8381  8 Zn 2.55-2.76
Zn 0.6488 0.1582 0.6488  8 Zn 2.55-2.74, 1 Cu 2.85
Zn 0.1582 0.6488 0.6488  8 Zn 2.55-2.74, 1 Cu 2.85
Zn 0.6488 0.6488 0.1582  8 Zn 2.55-2.74, 1 Cu 2.85
Zn 0.9970 0.5056 0.9970  9 Zn 2.56-2.77, 1 Cu 2.69
Zn 0.5056 0.9970 0.9970  9 Zn 2.56-2.77, 1 Cu 2.69
Zn 0.9970 0.9970 0.5056  9 Zn 2.56-2.77, 1 Cu 2.69
Zn 0.0988 0.0988 0.0988  1 Cu 2.60, 6 Zn 2.77-2.88
Cu 0.9009 0.9009 0.9009  7 Zn 2.60-2.85

The following is a PBE-GGA calculation of a relaxed Na2Si4Au5 crystal, from Alexandria via LeMat-Bulk.

Properties
E_form (uncorrected), meV per atom: -48.4
Space-group type: Fmmm (69)
Magnetic moment, μB per formula unit: 0.000

abc: 6.2210 6.8569 7.1584
angles: 78.63 64.25 63.02
Last column: nearest neighbours and their distance in Å.
Positions (direct):
Na 0.8486 0.0000 0.3028  6 Si 3.42-3.64, 6 Au 3.66-3.67
Na 0.1514 0.0000 0.6972  6 Si 3.42-3.64, 6 Au 3.66-3.67
Si 0.4734 0.3049 0.7482  5 Au 2.47-2.54
Si 0.5266 0.6951 0.2518  5 Au 2.47-2.54
Si 0.2216 0.3049 0.2518  5 Au 2.47-2.54
Si 0.7784 0.6951 0.7482  5 Au 2.47-2.54
Au 0.5000 0.0000 0.0000  4 Si 2.47
Au 0.0000 0.5000 0.0000  4 Si 2.54
Au 0.5000 0.5000 0.0000  4 Si 2.54
Au 0.2500 0.5000 0.5000  4 Si 2.53
Au 0.7500 0.5000 0.5000  4 Si 2.53

The following is a PBE-GGA calculation of a relaxed BeBiPt3 crystal, from Alexandria via LeMat-Bulk.

Properties
Polymorph energy (0 for the lowest one), eV/atom: 0.807
Space-group type: Cmcm (63)
Magnetic moment, μB per formula unit: 0.000
Formation energy from the elements, eV per atom: 0.375

abc: 9.7763 9.7763 4.9449
angles: 90.00 90.00 140.47
Last column: nearest neighbours and their distance in Å.
Positions (direct):
Be 0.2837 0.7163 0.2500  2 Pt 2.20
Be 0.7163 0.2837 0.7500  2 Pt 2.20
Bi 0.1311 0.8689 0.2500  4 Pt 2.71-2.74, 1 Be 2.81
Bi 0.8689 0.1311 0.7500  4 Pt 2.71-2.74, 1 Be 2.81
Pt 0.5348 0.0685 0.2500  1 Be 2.20
Pt 0.9315 0.4652 0.2500  1 Be 2.20
Pt 0.0685 0.5348 0.7500  1 Be 2.20
Pt 0.4652 0.9315 0.7500  1 Be 2.20
Pt 0.0000 0.0000 0.0000  2 Pt 2.47, 2 Bi 2.71
Pt 0.0000 0.0000 0.5000  2 Pt 2.47, 2 Bi 2.71

The following is a PBE-GGA calculation of a relaxed Ac8TlPd3I4 crystal, from Alexandria via LeMat-Bulk.

Properties
E_form (uncorrected), meV per atom: -847.2
Space-group type: R-3m (166)
Magnetic moment, μB per formula unit: 0.000

abc: 9.1814 10.0238 9.1796
angles: 117.25 120.01 90.00
Last column: nearest neighbours and their distance in Å.
Positions (direct):
Ac 0.2412 0.6946 0.9530  2 Pd 3.06, 1 Tl 3.26
Ac 0.2413 0.6946 0.4826  2 Pd 3.06, 1 Tl 3.26
Ac 0.2688 0.3061 0.5377  3 Pd 3.12
Ac 0.7118 0.6946 0.9530  2 Pd 3.06, 1 Tl 3.26
Ac 0.2882 0.3054 0.0470  2 Pd 3.06, 1 Tl 3.26
Ac 0.7312 0.6939 0.4623  3 Pd 3.12
Ac 0.7587 0.3054 0.5174  2 Pd 3.06, 1 Tl 3.26
Ac 0.7588 0.3054 0.0470  2 Pd 3.06, 1 Tl 3.26
Tl 0.0000 0.5000 0.0000  6 Ac 3.26
Pd 0.5000 0.5000 0.0000  6 Ac 3.06-3.12
Pd 0.5000 0.5000 0.5000  6 Ac 3.06-3.12
Pd 0.0000 0.5000 0.5000  6 Ac 3.06-3.12
I 0.5000 0.0000 0.0000  6 Ac 3.60
I 0.5000 0.0000 0.5000  6 Ac 3.71-3.77
I 0.0000 0.0000 0.0000  6 Ac 3.72-3.77
I 0.0000 0.0000 0.5000  6 Ac 3.71-3.77

The following is a PBE-GGA calculation of a relaxed ReMo2Rh crystal, from Alexandria via LeMat-Bulk.

Properties
Polymorph energy (0 for the lowest one), eV/atom: 0.000
Space-group type: Cmmm (65)
Magnetic moment, μB per formula unit: 0.000
Formation energy from the elements, eV per atom: -0.004

abc: 4.8279 4.8279 2.7656
angles: 89.98 89.98 109.43
Last column: nearest neighbours and their distance in Å.
Positions (direct):
Mo 0.0000 0.0000 0.0000  4 Mo 2.77-2.79, 4 Re 2.78, 4 Rh 2.78
Mo 0.5000 0.5000 0.0000  4 Mo 2.77-2.79, 4 Rh 2.78, 4 Re 2.78
Re 0.5000 0.0000 0.5000  2 Re 2.77, 8 Mo 2.78, 2 Rh 2.79
Rh 0.0000 0.5000 0.5000  2 Rh 2.77, 8 Mo 2.78, 2 Re 2.79